1.
Li6FeNiP2C2O14 (PBE+U, optimized geometry); DFT total energy = -6.524 eV per atom; D(E_F) = 0.00 states/eV/atom
1.0
4.971 0.000 0.000
0.000 6.483 0.000
-0.854 0.000 8.434
Li Fe Ni P C O
6 1 1 2 2 14
Cartesian
0.000 0.000 0.000
-0.234 1.738 5.238
-0.234 4.745 5.238
2.483 1.516 1.416
2.483 4.967 1.416
2.253 3.242 6.659
2.407 0.000 4.712
-0.182 3.242 1.920
0.061 0.000 2.568
2.209 3.242 4.065
-0.237 3.242 7.918
1.612 0.000 7.225
0.240 3.242 6.712
0.657 3.242 3.863
0.802 0.000 6.195
1.416 3.242 0.522
1.615 0.000 2.723
1.139 0.000 8.431
2.642 2.042 4.956
2.642 4.442 4.956
2.878 3.242 2.678
2.881 0.000 6.986
3.462 3.242 8.158
4.582 1.215 1.701
4.582 5.269 1.701
4.400 0.000 3.974

=====

2.
Li2Fe2C3O9 (PBE+U, optimized geometry); DFT total energy = -6.984 eV per atom; D(E_F) = 0.00 states/eV/atom
1.0
3.622 -4.877 0.000
3.622 4.877 0.000
-0.475 0.000 4.995
Li Fe C O
2 2 3 9
Cartesian
3.622 2.923 0.000
3.622 -2.923 0.000
-0.200 0.000 2.496
2.392 0.000 0.352
1.588 1.965 2.845
1.588 -1.965 2.845
4.899 0.000 0.390
2.260 3.027 3.006
1.327 1.417 1.680
1.073 1.336 3.883
1.073 -1.336 3.883
1.327 -1.417 1.680
4.207 1.095 0.340
2.260 -3.027 3.006
4.207 -1.095 0.340
6.198 0.000 0.506

=====

3.
Li3Fe2C2O8 (PBE+U, optimized geometry); DFT total energy = -6.628 eV per atom; D(E_F) = 0.00 states/eV/atom
1.0
6.932 0.000 0.000
0.000 5.079 0.000
-1.924 0.000 10.873
Li Fe C O
6 4 4 16
Cartesian
0.000 0.411 0.000
-0.962 4.667 5.437
0.082 0.526 3.109
-0.880 4.553 8.546
0.729 2.096 9.268
1.691 2.982 3.832
3.450 0.436 7.849
4.412 4.643 2.412
4.198 1.950 4.523
3.235 3.128 9.959
-1.179 2.128 6.991
-0.217 2.951 1.554
1.908 0.172 5.345
0.946 4.906 10.782
0.443 2.368 2.466
-0.519 2.711 7.903
-0.004 0.377 10.093
0.958 4.701 4.657
2.341 1.362 4.977
1.379 3.716 10.414
3.372 0.420 0.926
2.410 4.658 6.363
2.585 1.858 8.829
3.547 3.221 3.392
5.262 0.574 3.913
4.300 4.504 9.350
6.248 2.247 0.540
5.286 2.831 5.976
5.498 0.833 7.024
6.460 4.245 1.588

=====

4.
LiFe2C4O12 (PBE+U, optimized geometry); DFT total energy = -7.089 eV per atom; D(E_F) = 0.31 states/eV/atom
1.0
5.443 0.000 0.000
2.685 6.348 0.000
1.770 0.010 7.724
Li Fe C O
1 2 4 12
Cartesian
0.000 0.000 0.000
7.197 6.225 5.216
6.323 2.792 1.377
3.526 2.080 6.904
7.189 5.182 7.481
6.695 3.742 3.594
5.356 0.542 3.045
2.180 3.568 2.688
2.441 2.633 0.140
4.085 1.710 5.821
6.086 5.591 6.935
4.095 0.343 3.251
5.426 4.440 0.797
5.539 3.286 3.253
6.934 4.305 4.706
8.286 5.583 6.880
5.801 0.895 1.872
6.136 0.351 4.062
7.706 1.931 7.166

=====

5.
Li3FePCO7 (PBE+U, optimized geometry); relative energy among the computed polymorphs = 0.0510 eV per atom; D(E_F) = 0.00 states/eV/atom
1.0
4.885 0.000 0.000
0.000 6.522 0.000
-0.863 0.000 8.906
Li Fe P C O
6 2 2 2 14
Cartesian
0.000 1.339 0.000
0.000 5.183 0.000
0.995 1.920 5.177
0.995 4.602 5.177
2.941 1.634 2.600
2.941 4.888 2.600
1.136 3.261 8.362
3.880 0.000 5.718
1.597 0.000 7.670
3.420 3.261 6.410
0.195 0.000 2.697
0.800 3.261 2.481
1.299 3.261 3.687
1.451 0.000 2.957
1.197 0.000 6.148
1.701 3.261 1.516
1.050 1.229 8.410
1.050 5.293 8.410
1.854 3.261 6.392
3.162 0.000 7.688
3.966 2.032 5.668
3.966 4.490 5.668
4.172 0.000 3.657
3.820 3.261 7.931
4.427 3.261 2.232
4.591 0.000 1.489

=====

6.
Li3FePCO7 (PBE+U, optimized geometry); relative energy among the computed polymorphs = 0.0000 eV per atom; D(E_F) = 0.00 states/eV/atom
1.0
5.024 0.000 0.000
0.000 6.440 0.000
-1.173 0.000 8.600
Li Fe P C O
6 2 2 2 14
Cartesian
0.735 0.000 0.610
0.516 5.753 6.010
0.550 2.594 6.257
3.301 5.814 2.343
3.335 2.533 2.591
3.116 3.220 7.991
0.693 4.186 2.921
3.158 0.966 5.679
0.803 1.005 3.438
3.048 4.224 5.162
1.742 3.927 0.413
2.109 0.707 8.187
0.501 4.330 0.439
0.303 2.220 2.623
0.391 6.188 2.599
0.152 0.979 4.834
1.489 4.249 4.992
1.146 3.537 7.939
1.457 0.724 7.043
2.394 3.944 1.557
2.705 0.318 0.661
2.362 1.029 3.608
3.699 4.198 3.767
3.460 2.968 6.001
3.548 5.439 5.977
3.350 1.110 8.161

=====

7.
Li2FeSiCO7 (PBE+U, optimized geometry); DFT total energy = -6.738 eV per atom; D(E_F) = 0.40 states/eV/atom
1.0
5.137 0.000 0.000
0.000 6.337 0.000
-0.518 0.000 8.523
Li Fe Si C O
4 2 2 2 14
Cartesian
0.965 0.029 2.290
0.965 3.140 2.290
3.654 3.198 6.233
3.654 6.308 6.233
0.592 4.753 7.244
4.027 1.584 1.279
0.976 1.584 7.914
3.643 4.753 0.609
1.041 4.753 4.712
3.578 1.584 3.811
-0.170 4.753 5.185
0.827 1.584 0.892
0.473 0.314 7.015
0.473 2.854 7.015
1.284 4.753 3.463
2.004 4.753 0.409
1.990 4.753 5.610
2.629 1.584 2.913
2.615 1.584 8.114
3.336 1.584 5.059
4.147 3.483 1.507
4.147 6.023 1.507
3.792 4.753 7.631
4.790 1.584 3.338